[1]
## WSeCl2 (PBE-GGA)

Data for a geometry-optimized WSeCl2 structure.

The structure in POSCAR format:
```
WSeCl2
1.0
4.632 0.000 0.000
0.000 4.100 0.000
0.000 0.000 4.100
Se W Cl
1 1 2
direct
0.500 0.500 0.000
0.500 0.000 0.500
0.000 0.000 0.000
0.000 0.500 0.500
```

Energy relative to the lowest polymorph listed for this composition ... 1542 meV per atom
SG ... P4/mmm, No. 123

[2]
## CsTlPb (PBE-GGA)

Data for a geometry-optimized CsTlPb structure.

The structure in POSCAR format:
```
CsTlPb
1.0
-3.568 -6.019 10.162
4.378 0.009 1.543
-1.725 9.198 4.842
Pb Cs Tl
4 4 4
direct
0.424 0.250 0.443
0.076 0.750 0.943
0.576 0.750 0.557
0.924 0.250 0.057
0.806 0.250 0.417
0.694 0.750 0.917
0.194 0.750 0.583
0.306 0.250 0.083
0.953 0.250 0.763
0.547 0.750 0.263
0.047 0.750 0.237
0.453 0.250 0.737
```

SG ... Pnma, No. 62
ΔE_f ... -110 meV per atom

[3]
## CsGaNi2 (PBE-GGA)

Data for a geometry-optimized CsGaNi2 structure.

The structure in POSCAR format:
```
CsGaNi2
1.0
7.633 0.000 0.000
0.000 7.633 0.000
3.816 3.816 3.610
Cs Ni Ga
2 4 2
direct
0.000 0.000 0.000
0.750 0.250 0.500
0.494 0.125 0.250
0.256 0.625 0.250
0.375 0.506 0.750
0.875 0.744 0.750
0.500 0.500 0.000
0.250 0.750 0.500
```

SG ... I-42d, No. 122
ΔE_f ... 618 meV per atom

Number 1: E -15.76 eV/f.u.. Number 2: E -7.26 eV/f.u.. Number 3: E -12.97 eV/f.u..